PrWClO4: optimized geometry, PBE with a Hubbard U.

```
PrWClO4
1.0
-2.1804 3.6244 -5.0173
-4.3204 -3.5304 -3.4547
-6.3463 2.3900 2.2520
Cl O W Pr
2 8 2 2
direct
0.0114 0.0114 0.2337 Cl
0.9886 0.9886 0.7663 Cl
0.2949 0.2949 0.5278 O
0.5122 0.8826 0.8467 O
0.8826 0.5122 0.8467 O
0.1174 0.4878 0.1533 O
0.4878 0.1174 0.1533 O
0.7051 0.7051 0.4722 O
0.5391 0.5391 0.2011 O
0.4609 0.4609 0.7989 O
0.6373 0.6373 0.7339 W
0.3627 0.3627 0.2661 W
0.2229 0.2229 0.8826 Pr
0.7771 0.7771 0.1174 Pr
```

Its space group is C2/m. The calculation puts the electronic total energy at -7.2487 eV per atom. For the density of states at the Fermi level, the calculation gives 0.0000 states/eV per atom. The crystal system is monoclinic.